[1]
Density functional theory data (PBE) for a geometry-optimized AcMgIn2Pd2 structure.

a b c (Å): 5.3364 5.3364 11.1195
angles (deg): 90.00 90.00 90.00
Atoms (fractional coordinates):
Ac: 0.0000 0.0000 0.0000
Ac: 0.5000 0.5000 0.5000
Mg: 0.0000 0.0000 0.5000
Mg: 0.5000 0.5000 0.0000
In: 0.0000 0.5000 0.2500
In: 0.0000 0.5000 0.7500
In: 0.5000 0.0000 0.2500
In: 0.5000 0.0000 0.7500
Pd: 0.0000 0.0000 0.2745
Pd: 0.0000 0.0000 0.7255
Pd: 0.5000 0.5000 0.2255
Pd: 0.5000 0.5000 0.7745

Crystal system   tetragonal
Formation energy   -0.382 eV per atom
Spin magnetization   0.00 μB/cell


[2]
Density functional theory data (PBE) for a geometry-optimized Ac3Mg2InPd6 structure.

a b c (Å): 6.0140 6.0140 9.0390
angles (deg): 90.00 90.00 120.00
Atoms (fractional coordinates):
Ac: 0.0000 0.0000 0.0000
Ac: 0.3333 0.6667 0.6187
Ac: 0.6667 0.3333 0.3813
Mg: 0.3333 0.6667 0.0253
Mg: 0.6667 0.3333 0.9747
In: 0.0000 0.0000 0.5000
Pd: 0.1762 0.3525 0.2716
Pd: 0.1762 0.8238 0.2716
Pd: 0.3525 0.1762 0.7284
Pd: 0.6475 0.8238 0.2716
Pd: 0.8238 0.1762 0.7284
Pd: 0.8238 0.6475 0.7284

Crystal system   trigonal
Formation energy   -0.632 eV per atom
Spin magnetization   0.00 μB/cell


[3]
Density functional theory data (PBE) for a geometry-optimized AcMg2InPd4 structure.

a b c (Å): 9.4811 9.4811 9.4811
angles (deg): 27.73 27.73 27.73
Atoms (fractional coordinates):
Ac: 0.0000 0.0000 0.0000
Mg: 0.2344 0.2344 0.2344
Mg: 0.7656 0.7656 0.7656
In: 0.5000 0.5000 0.5000
Pd: 0.1281 0.1281 0.1281
Pd: 0.4007 0.4007 0.4007
Pd: 0.5993 0.5993 0.5993
Pd: 0.8719 0.8719 0.8719

Crystal system   trigonal
Formation energy   -0.660 eV per atom
Spin magnetization   0.00 μB/cell


[4]
Density functional theory data (PBE) for a geometry-optimized AcPmMgIn structure.

a b c (Å): 7.9682 7.9682 7.9682
angles (deg): 90.00 90.00 90.00
Atoms (fractional coordinates):
Ac: 0.0000 0.0000 0.0000
Ac: 0.0000 0.5000 0.5000
Ac: 0.5000 0.0000 0.5000
Ac: 0.5000 0.5000 0.0000
Pm: 0.0000 0.0000 0.5000
Pm: 0.0000 0.5000 0.0000
Pm: 0.5000 0.0000 0.0000
Pm: 0.5000 0.5000 0.5000
Mg: 0.2500 0.2500 0.7500
Mg: 0.2500 0.7500 0.2500
Mg: 0.7500 0.2500 0.2500
Mg: 0.7500 0.7500 0.7500
In: 0.2500 0.2500 0.2500
In: 0.2500 0.7500 0.7500
In: 0.7500 0.2500 0.7500
In: 0.7500 0.7500 0.2500

Crystal system   cubic
Formation energy   -0.271 eV per atom
Spin magnetization   0.00 μB/cell


[5]
Density functional theory data (PBE) for a geometry-optimized AcPrMgIn structure.

a b c (Å): 8.0166 8.0166 8.0166
angles (deg): 90.00 90.00 90.00
Atoms (fractional coordinates):
Ac: 0.0000 0.0000 0.0000
Ac: 0.0000 0.5000 0.5000
Ac: 0.5000 0.0000 0.5000
Ac: 0.5000 0.5000 0.0000
Pr: 0.0000 0.0000 0.5000
Pr: 0.0000 0.5000 0.0000
Pr: 0.5000 0.0000 0.0000
Pr: 0.5000 0.5000 0.5000
Mg: 0.2500 0.2500 0.2500
Mg: 0.2500 0.7500 0.7500
Mg: 0.7500 0.2500 0.7500
Mg: 0.7500 0.7500 0.2500
In: 0.2500 0.2500 0.7500
In: 0.2500 0.7500 0.2500
In: 0.7500 0.2500 0.2500
In: 0.7500 0.7500 0.7500

Crystal system   cubic
Formation energy   -0.278 eV per atom
Spin magnetization   0.00 μB/cell


[6]
Density functional theory data (PBE) for a geometry-optimized AcPr2Mg2In2 structure.

a b c (Å): 9.9933 9.9933 9.9933
angles (deg): 29.59 29.59 29.59
Atoms (fractional coordinates):
Ac: 0.0000 0.0000 0.0000
Pr: 0.1317 0.1317 0.1317
Pr: 0.8683 0.8683 0.8683
Mg: 0.4113 0.4113 0.4113
Mg: 0.5887 0.5887 0.5887
In: 0.2591 0.2591 0.2591
In: 0.7409 0.7409 0.7409

Crystal system   trigonal
Formation energy   -0.259 eV per atom
Spin magnetization   0.00 μB/cell


[7]
Density functional theory data (PBE) for a geometry-optimized Ac2MgInPt6 structure.

a b c (Å): 9.0580 9.0580 9.0580
angles (deg): 37.27 37.27 37.27
Atoms (fractional coordinates):
Ac: 0.2088 0.2088 0.2088
Ac: 0.7912 0.7912 0.7912
Mg: 0.5000 0.5000 0.5000
In: 0.0000 0.0000 0.0000
Pt: 0.2505 0.7456 0.7456
Pt: 0.2544 0.2544 0.7495
Pt: 0.2544 0.7495 0.2544
Pt: 0.7456 0.2505 0.7456
Pt: 0.7456 0.7456 0.2505
Pt: 0.7495 0.2544 0.2544

Crystal system   trigonal
Formation energy   -0.699 eV per atom
Spin magnetization   0.00 μB/cell


[8]
Density functional theory data (PBE) for a geometry-optimized AcMgInPt structure.

a b c (Å): 7.4005 7.4005 7.4005
angles (deg): 90.00 90.00 90.00
Atoms (fractional coordinates):
Ac: 0.0000 0.0000 0.0000
Ac: 0.0000 0.5000 0.5000
Ac: 0.5000 0.0000 0.5000
Ac: 0.5000 0.5000 0.0000
Mg: 0.0000 0.0000 0.5000
Mg: 0.0000 0.5000 0.0000
Mg: 0.5000 0.0000 0.0000
Mg: 0.5000 0.5000 0.5000
In: 0.2500 0.2500 0.7500
In: 0.2500 0.7500 0.2500
In: 0.7500 0.2500 0.2500
In: 0.7500 0.7500 0.7500
Pt: 0.2500 0.2500 0.2500
Pt: 0.2500 0.7500 0.7500
Pt: 0.7500 0.2500 0.7500
Pt: 0.7500 0.7500 0.2500

Crystal system   cubic
Formation energy   -0.495 eV per atom
Spin magnetization   0.00 μB/cell


[9]
Density functional theory data (PBE) for a geometry-optimized Ac2Mg2InPt5 structure.

a b c (Å): 10.3998 10.3998 3.8603
angles (deg): 90.00 90.00 90.00
Atoms (fractional coordinates):
Ac: 0.1812 0.3188 0.0000
Ac: 0.3188 0.8188 0.0000
Ac: 0.6812 0.1812 0.0000
Ac: 0.8188 0.6812 0.0000
Mg: 0.1180 0.6180 0.0000
Mg: 0.3820 0.1180 0.0000
Mg: 0.6180 0.8820 0.0000
Mg: 0.8820 0.3820 0.0000
In: 0.0000 0.0000 0.0000
In: 0.5000 0.5000 0.0000
Pt: 0.0000 0.5000 0.5000
Pt: 0.0536 0.7931 0.5000
Pt: 0.2069 0.0536 0.5000
Pt: 0.2931 0.5536 0.5000
Pt: 0.4464 0.2931 0.5000
Pt: 0.5000 0.0000 0.5000
Pt: 0.5536 0.7069 0.5000
Pt: 0.7069 0.4464 0.5000
Pt: 0.7931 0.9464 0.5000
Pt: 0.9464 0.2069 0.5000

Crystal system   tetragonal
Formation energy   -0.708 eV per atom
Spin magnetization   0.00 μB/cell


[10]
Density functional theory data (PBE) for a geometry-optimized AcMgIn2Pt4 structure.

a b c (Å): 9.5496 9.5496 9.5496
angles (deg): 27.60 27.60 27.60
Atoms (fractional coordinates):
Ac: 0.0000 0.0000 0.0000
Mg: 0.5000 0.5000 0.5000
In: 0.2377 0.2377 0.2377
In: 0.7623 0.7623 0.7623
Pt: 0.1346 0.1346 0.1346
Pt: 0.4023 0.4023 0.4023
Pt: 0.5977 0.5977 0.5977
Pt: 0.8654 0.8654 0.8654

Crystal system   trigonal
Formation energy   -0.769 eV per atom
Spin magnetization   0.00 μB/cell


[11]
Density functional theory data (PBE) for a geometry-optimized AcMgInPt2 structure.

a b c (Å): 4.2757 4.2757 12.6100
angles (deg): 90.00 90.00 90.00
Atoms (fractional coordinates):
Ac: 0.0000 0.0000 0.0000
Ac: 0.5000 0.5000 0.5000
Mg: 0.0000 0.5000 0.7500
Mg: 0.5000 0.0000 0.2500
In: 0.0000 0.5000 0.2500
In: 0.5000 0.0000 0.7500
Pt: 0.0000 0.0000 0.3913
Pt: 0.0000 0.0000 0.6087
Pt: 0.5000 0.5000 0.1087
Pt: 0.5000 0.5000 0.8913

Crystal system   tetragonal
Formation energy   -0.897 eV per atom
Spin magnetization   0.00 μB/cell


[12]
Density functional theory data (PBE) for a geometry-optimized Ac2MgIn4Pt3 structure.

a b c (Å): 4.4557 4.4557 12.3578
angles (deg): 90.00 90.00 90.00
Atoms (fractional coordinates):
Ac: 0.0000 0.5000 0.2371
Ac: 0.5000 0.0000 0.7629
Mg: 0.0000 0.0000 0.5000
In: 0.0000 0.0000 0.0000
In: 0.0000 0.5000 0.6389
In: 0.5000 0.0000 0.3611
In: 0.5000 0.5000 0.0000
Pt: 0.0000 0.5000 0.8598
Pt: 0.5000 0.0000 0.1402
Pt: 0.5000 0.5000 0.5000

Crystal system   tetragonal
Formation energy   -0.694 eV per atom
Spin magnetization   0.00 μB/cell


What did the seventh record say?
Density functional theory data (PBE) for a geometry-optimized Ac2MgInPt6 structure.

a b c (Å): 9.0580 9.0580 9.0580
angles (deg): 37.27 37.27 37.27
Atoms (fractional coordinates):
Ac: 0.2088 0.2088 0.2088
Ac: 0.7912 0.7912 0.7912
Mg: 0.5000 0.5000 0.5000
In: 0.0000 0.0000 0.0000
Pt: 0.2505 0.7456 0.7456
Pt: 0.2544 0.2544 0.7495
Pt: 0.2544 0.7495 0.2544
Pt: 0.7456 0.2505 0.7456
Pt: 0.7456 0.7456 0.2505
Pt: 0.7495 0.2544 0.2544

Crystal system   trigonal
Formation energy   -0.699 eV per atom
Spin magnetization   0.00 μB/cell